Material: PaCoSn
Method: DFT, PBE
State: optimized geometry

Cell and atoms, written as POSCAR:
```
PaCoSn
1.0
4.488 0.000 0.000
-2.244 3.887 0.000
0.000 0.000 3.497
Pa Co Sn
1 1 1
direct
0.000 0.000 0.000
0.333 0.667 0.500
0.667 0.333 0.500
```

Properties
Density ... 11.1 g/cm3
Total energy ... -7.101 eV/atom